(1)
Material: LiLuSnSe3
Method: DFT, PBE-GGA
State: optimized geometry

abc: 6.9582 6.9582 10.5187
angles: 90.00 90.00 145.98
Fractional positions:
Lu 0.5000 0.5000 0.0000
Se 0.1384 0.8616 0.5617
Li 0.9739 0.0261 0.2500
Se 0.8616 0.1384 0.0617
Se 0.5835 0.4165 0.2500
Lu 0.5000 0.5000 0.5000
Sn 0.7472 0.2528 0.7500
Sn 0.2528 0.7472 0.2500
Se 0.8616 0.1384 0.4383
Se 0.4165 0.5835 0.7500
Li 0.0261 0.9739 0.7500
Se 0.1384 0.8616 0.9383

Symmetry: Cmcm, No. 63
Size of the total moment in μB/f.u.: 0.0
V in A^3/atom: 23.74
Uncorrected energy in eV/atom: -4.6424


(2)
Material: LiLuZnSe3
Method: DFT, PBE-GGA
State: optimized geometry

abc: 3.9511 11.5560 12.0551
angles: 90.00 90.00 90.00
Fractional positions:
Se 0.7500 0.0769 0.5861
Li 0.2500 0.5144 0.3790
Li 0.7500 0.4856 0.6210
Zn 0.7500 0.2123 0.7375
Lu 0.7500 0.6759 0.0455
Se 0.7500 0.1435 0.9323
Lu 0.2500 0.1759 0.4545
Se 0.2500 0.3447 0.7231
Se 0.7500 0.4231 0.0861
Zn 0.7500 0.2877 0.2375
Zn 0.2500 0.7123 0.7625
Se 0.7500 0.6553 0.2769
Se 0.7500 0.3565 0.4323
Zn 0.2500 0.7877 0.2625
Se 0.2500 0.1553 0.2231
Se 0.2500 0.6435 0.5677
Li 0.2500 0.9856 0.8790
Se 0.7500 0.8447 0.7769
Se 0.2500 0.8565 0.0677
Lu 0.2500 0.3241 0.9545
Lu 0.7500 0.8241 0.5455
Se 0.2500 0.5769 0.9139
Li 0.7500 0.0144 0.1210
Se 0.2500 0.9231 0.4139

ΔE to the lowest computed polymorph in kJ/mol of formula units: 10
Symmetry: Pnma, No. 62
Size of the total moment in μB/f.u.: 0.0
V in A^3/atom: 22.93
Uncorrected energy in eV/atom: -4.2631


(3)
Material: LiLuZnSe3
Method: DFT, PBE-GGA
State: optimized geometry

abc: 6.8043 6.8043 10.7165
angles: 90.00 90.00 33.50
Fractional positions:
Se 0.9069 0.9069 0.7500
Lu 0.0000 0.0000 0.0000
Se 0.3590 0.3590 0.0720
Se 0.6410 0.6410 0.5720
Zn 0.5248 0.5248 0.7500
Se 0.6410 0.6410 0.9280
Lu 0.0000 0.0000 0.5000
Se 0.3590 0.3590 0.4280
Se 0.0931 0.0931 0.2500
Li 0.2259 0.2259 0.7500
Zn 0.4752 0.4752 0.2500
Li 0.7741 0.7741 0.2500

ΔE to the lowest computed polymorph in kJ/mol of formula units: 0
Symmetry: Cmcm, No. 63
Size of the total moment in μB/f.u.: 0.0
V in A^3/atom: 22.82
Uncorrected energy in eV/atom: -4.2800


(4)
Material: Li2Lu2Si3
Method: DFT, PBE-GGA
State: optimized geometry

abc: 9.0740 9.0740 6.5622
angles: 90.00 90.00 153.35
Fractional positions:
Si 0.7788 0.2212 0.2500
Li 0.6909 0.3091 0.9391
Lu 0.1559 0.8441 0.2500
Li 0.3091 0.6909 0.0609
Si 0.4393 0.5607 0.5698
Si 0.5607 0.4393 0.4302
Lu 0.8441 0.1559 0.7500
Lu 0.9480 0.0520 0.2500
Si 0.2212 0.7788 0.7500
Li 0.6909 0.3091 0.5609
Si 0.5607 0.4393 0.0698
Si 0.4393 0.5607 0.9302
Lu 0.0520 0.9480 0.7500
Li 0.3091 0.6909 0.4391

Symmetry: Cmcm, No. 63
Size of the total moment in μB/f.u.: 0.0
V in A^3/atom: 17.31
Uncorrected energy in eV/atom: -4.7116


(5)
Material: LiLuSn2
Method: DFT, PBE-GGA
State: optimized geometry

abc: 5.1734 5.1734 5.1734
angles: 60.00 60.00 60.00
Fractional positions:
Sn 0.2500 0.2500 0.2500
Sn 0.0000 0.0000 0.0000
Lu 0.5000 0.5000 0.5000
Li 0.7500 0.7500 0.7500

Symmetry: F-43m, No. 216
Size of the total moment in μB/f.u.: 0.0
V in A^3/atom: 24.48
Uncorrected energy in eV/atom: -3.7652


(6)
Material: LiLuSn
Method: DFT, PBE-GGA
State: optimized geometry

abc: 4.8678 4.8678 4.8678
angles: 60.00 60.00 60.00
Fractional positions:
Sn 0.0000 0.0000 0.0000
Lu 0.7500 0.7500 0.7500
Li 0.2500 0.2500 0.2500

Symmetry: F-43m, No. 216
Size of the total moment in μB/f.u.: 0.0
V in A^3/atom: 27.19
Uncorrected energy in eV/atom: -3.8720


(7)
Material: Li2LuSn
Method: DFT, PBE-GGA
State: optimized geometry

abc: 4.9228 4.9228 4.9228
angles: 60.00 60.00 60.00
Fractional positions:
Lu 0.2500 0.2500 0.2500
Sn 0.5000 0.5000 0.5000
Li 0.0000 0.0000 0.0000
Li 0.7500 0.7500 0.7500

Symmetry: F-43m, No. 216
Size of the total moment in μB/f.u.: 0.0
V in A^3/atom: 21.09
Uncorrected energy in eV/atom: -3.4339


(8)
Material: LiLuSnTe3
Method: DFT, PBE-GGA
State: optimized geometry

abc: 7.9352 7.9352 11.6444
angles: 90.00 90.00 148.35
Fractional positions:
Sn 0.1820 0.8180 0.7500
Li 0.9128 0.0872 0.7500
Te 0.1385 0.8615 0.4717
Lu 0.5000 0.5000 0.5000
Te 0.5460 0.4540 0.7500
Te 0.8615 0.1385 0.5283
Li 0.0872 0.9128 0.2500
Te 0.1385 0.8615 0.0283
Lu 0.5000 0.5000 0.0000
Te 0.8615 0.1385 0.9717
Te 0.4540 0.5460 0.2500
Sn 0.8180 0.1820 0.2500

Symmetry: Cmcm, No. 63
Size of the total moment in μB/f.u.: 0.0
V in A^3/atom: 32.06
Uncorrected energy in eV/atom: -4.1014